Record 1
Material: RbP2Pt5
Method: DFT, PBE
State: relaxed

abc: 4.1209 6.3917 6.3917
angles: 66.57 71.49 71.49
Sites, in units of the cell vectors:
Rb: 0.0000 0.0000 0.0000
P: 0.7612 0.7374 0.7374
P: 0.2388 0.2626 0.2626
Pt: 0.0000 0.5000 0.5000
Pt: 0.6609 0.5352 0.1432
Pt: 0.3391 0.4648 0.8568
Pt: 0.3391 0.8568 0.4648
Pt: 0.6609 0.1432 0.5352

Properties
Formation enthalpy at 0 K, meV/atom: -321
Space group: C2/m, No. 12
N(E_F), states/eV/atom: 0.53


Record 2
Material: RbP3Pt
Method: DFT, PBE
State: relaxed

abc: 4.9034 4.9034 4.9034
angles: 90.00 90.00 90.00
Sites, in units of the cell vectors:
P: 0.0000 0.5000 0.0000
P: 0.0000 0.0000 0.5000
P: 0.5000 0.0000 0.0000
Rb: 0.5000 0.5000 0.5000
Pt: 0.0000 0.0000 0.0000

Properties
Formation enthalpy at 0 K, meV/atom: 486
Space group: Pm-3m, No. 221
N(E_F), states/eV/atom: 0.67


Record 3
Material: RbP2Pt3
Method: DFT, PBE
State: relaxed

abc: 3.7958 8.0961 9.7493
angles: 117.39 90.00 103.56
Sites, in units of the cell vectors:
Rb: 0.8631 0.7262 0.9662
Rb: 0.1369 0.2738 0.0338
P: 0.4497 0.8993 0.7517
P: 0.5503 0.1007 0.2483
P: 0.8333 0.6666 0.3111
P: 0.1667 0.3334 0.6889
Pt: 0.2825 0.5649 0.6124
Pt: 0.9255 0.8509 0.5964
Pt: 0.5724 0.1447 0.6589
Pt: 0.4276 0.8553 0.3411
Pt: 0.0745 0.1491 0.4036
Pt: 0.7175 0.4351 0.3876

Properties
Formation enthalpy at 0 K, meV/atom: -460
Space group: C2/m, No. 12
N(E_F), states/eV/atom: 0.39


Record 4
Material: RbPPt
Method: DFT, PBE
State: relaxed

abc: 6.8228 7.5691 7.7216
angles: 125.10 90.00 90.00
Sites, in units of the cell vectors:
Rb: 0.6182 0.2977 0.6554
Rb: 0.1182 0.2023 0.3446
Rb: 0.3818 0.7023 0.3446
Rb: 0.8818 0.7977 0.6554
P: 0.6484 0.2518 0.1654
P: 0.1484 0.2482 0.8346
P: 0.3516 0.7482 0.8346
P: 0.8516 0.7518 0.1654
Pt: 0.8773 0.3938 0.0597
Pt: 0.3773 0.1062 0.9403
Pt: 0.1227 0.6062 0.9403
Pt: 0.6227 0.8938 0.0597

Properties
Formation enthalpy at 0 K, meV/atom: -610
Space group: P2_1/c, No. 14
N(E_F), states/eV/atom: 0.38


Record 5
Material: RbP2Pt
Method: DFT, PBE
State: relaxed

abc: 3.9664 3.9664 8.4526
angles: 76.43 76.43 60.00
Sites, in units of the cell vectors:
P: 0.1313 0.1313 0.6061
P: 0.8687 0.8687 0.3939
Rb: 0.0000 0.0000 0.0000
Pt: 0.5000 0.5000 0.5000

Properties
Formation enthalpy at 0 K, meV/atom: -158
Space group: R-3m, No. 166
N(E_F), states/eV/atom: 0.59


Record 6
Material: RbPPtRh
Method: DFT, PBE
State: relaxed

abc: 3.8392 3.8392 12.8738
angles: 90.00 90.00 90.00
Sites, in units of the cell vectors:
Rb: 0.7500 0.7500 0.2779
Rb: 0.2500 0.2500 0.7221
P: 0.7500 0.7500 0.8977
P: 0.2500 0.2500 0.1023
Pt: 0.2500 0.7500 0.5000
Pt: 0.7500 0.2500 0.5000
Rh: 0.7500 0.2500 0.0000
Rh: 0.2500 0.7500 0.0000

Properties
Formation enthalpy at 0 K, meV/atom: -400
Space group: P4/nmm, No. 129
N(E_F), states/eV/atom: 0.64


Record 7
Material: RbPRuPt2
Method: DFT, PBE
State: relaxed

abc: 5.0024 5.1593 5.0024
angles: 90.00 90.00 90.00
Each line ends with the local moment (μB).
Sites, in units of the cell vectors:
Ru: 0.5000 0.5000 0.5000  2.67
Rb: 0.0000 0.0000 0.0000  -0.01
Pt: 0.0000 0.0000 0.5000  0.04
Pt: 0.5000 0.0000 0.0000  0.16
P: 0.0000 0.5000 0.0000  -0.08

Properties
Formation enthalpy at 0 K, meV/atom: 2778
Space group: P4/mmm, No. 123
N(E_F), states/eV/atom: 1.53


Record 8
Material: Rb2PPtS4
Method: DFT, PBE
State: relaxed

abc: 6.5334 7.5139 11.3638
angles: 82.82 73.29 64.23
Sites, in units of the cell vectors:
Rb: 0.1692 0.0000 0.6617
Rb: 0.8308 0.0000 0.3383
Rb: 0.5808 0.5000 0.8383
Rb: 0.9192 0.5000 0.1617
P: 0.2500 0.5000 0.5000
P: 0.5000 0.0000 0.0000
Pt: 0.7500 0.5000 0.5000
Pt: 0.0000 0.0000 0.0000
S: 0.3419 0.8098 0.0792
S: 0.2310 0.1902 0.9208
S: 0.8482 0.8098 0.9208
S: 0.5789 0.1902 0.0792
S: 0.4081 0.6902 0.4208
S: 0.5190 0.3098 0.5792
S: 0.9018 0.6902 0.5792
S: 0.1711 0.3098 0.4208

Properties
Total DFT energy (no corrections), eV per atom: -4.288
Space group: Fddd, No. 70
N(E_F), states/eV/atom: 0.43


Record 9
Material: RbPPtS2
Method: DFT, PBE
State: relaxed

abc: 5.2105 4.4378 5.2105
angles: 90.00 90.00 90.00
Sites, in units of the cell vectors:
P: 0.0000 0.5000 0.0000
S: 0.0000 0.0000 0.5000
S: 0.5000 0.0000 0.0000
Rb: 0.5000 0.5000 0.5000
Pt: 0.0000 0.0000 0.0000

Properties
Total DFT energy (no corrections), eV per atom: -4.096
Space group: P4/mmm, No. 123
N(E_F), states/eV/atom: 1.04


Record 10
Material: RbP2PtS
Method: DFT, PBE
State: relaxed

abc: 5.2975 5.2975 5.2519
angles: 90.00 90.00 90.00
Sites, in units of the cell vectors:
P: 0.0000 0.5000 0.0000
P: 0.5000 0.0000 0.0000
S: 0.0000 0.0000 0.5000
Rb: 0.0000 0.0000 0.0000
Pt: 0.5000 0.5000 0.5000

Properties
Total DFT energy (no corrections), eV per atom: -1.968
Space group: P4/mmm, No. 123
N(E_F), states/eV/atom: 1.51


Record 11
Material: RbP2PtS
Method: DFT, PBE
State: relaxed

abc: 4.6757 4.6757 5.4984
angles: 90.00 90.00 90.00
Sites, in units of the cell vectors:
P: 0.0000 0.5000 0.0000
P: 0.5000 0.0000 0.0000
S: 0.0000 0.0000 0.5000
Rb: 0.5000 0.5000 0.5000
Pt: 0.0000 0.0000 0.0000

Properties
Total DFT energy (no corrections), eV per atom: -4.181
Space group: P4/mmm, No. 123
N(E_F), states/eV/atom: 0.51


Record 12
Material: RbP2PtS8
Method: DFT, PBE
State: relaxed

abc: 5.8119 5.8119 10.0298
angles: 90.00 90.00 120.00
Sites, in units of the cell vectors:
Rb: 0.0000 0.0000 0.0000
P: 0.6667 0.3333 0.2974
P: 0.3333 0.6667 0.7026
Pt: 0.0000 0.0000 0.5000
S: 0.3333 0.6667 0.9016
S: 0.3206 0.3372 0.3536
S: 0.6628 0.9834 0.3536
S: 0.6667 0.3333 0.0984
S: 0.3372 0.0166 0.6464
S: 0.6794 0.6628 0.6464
S: 0.9834 0.3206 0.6464
S: 0.0166 0.6794 0.3536

Properties
Total DFT energy (no corrections), eV per atom: -4.506
Space group: P-3, No. 147
N(E_F), states/eV/atom: 1.06


Number 6 is which compound? RbPPtRh